VASP calculation (GGA-PBE) on an optimized crystal structure of LiTb2O3.

It has space group Immm (No. 71), with a = 3.2650 Å, b = 3.6082 Å, c = 12.5058 Å, α = 90.00°, β = 90.00° and γ = 90.00°. The inequivalent atoms are Li at (0.0000, 0.0000, 0.0000), Tb at (0.0000, 0.0000, 0.3598), O at (0.0000, 0.0000, 0.1732) and O at (0.0000, 0.5000, 0.0000).

The value obtained for the uncorrected formation energy is -2.88 eV/atom. The calculated total energy comes out at -7.2195 eV per atom. The density of states at the Fermi level is 1.3 states/eV/cell. For the volume, the calculation gives 12.28 A^3/atom.


VASP calculation (GGA-PBE) on an optimized crystal structure of LiTb3O.

It has space group Pm-3m (No. 221), with a = 4.8301 Å, b = 4.8301 Å, c = 4.8301 Å, α = 90.00°, β = 90.00° and γ = 90.00°. The inequivalent atoms are Li at (0.0000, 0.0000, 0.0000), Tb at (0.0000, 0.5000, 0.5000) and O at (0.5000, 0.5000, 0.5000).

The value obtained for the uncorrected formation energy is -1.04 eV/atom. The calculated total energy comes out at -5.1968 eV per atom. The density of states at the Fermi level is 5.6 states/eV/cell. For the volume, the calculation gives 22.54 A^3/atom.


VASP calculation (GGA-PBE) on an optimized crystal structure of LiTbTc2O8.

It has space group I-4 (No. 82), with a = 5.1740 Å, b = 5.1740 Å, c = 11.3632 Å, α = 90.00°, β = 90.00° and γ = 90.00°. The inequivalent atoms are Li at (0.0000, 0.0000, 0.0000), Tb at (0.0000, 0.5000, 0.7500), Tc at (0.0000, 0.0000, 0.5000), Tc at (0.0000, 0.5000, 0.2500), O at (0.1546, 0.2501, 0.5840) and O at (0.1611, 0.7534, 0.1698).

The value obtained for the uncorrected formation energy is -1.89 eV/atom. The calculated total energy comes out at -7.4708 eV per atom. The density of states at the Fermi level is 8.6 states/eV/cell. For the volume, the calculation gives 12.67 A^3/atom.


VASP calculation (GGA-PBE) on an optimized crystal structure of LiTbTe2O6.

It has space group C2/c (No. 15), with a = 11.2138 Å, b = 10.1266 Å, c = 5.5633 Å, α = 90.00°, β = 98.20° and γ = 90.00°. The inequivalent atoms are Li at (0.0000, 0.1405, 0.2500), Tb at (0.0000, 0.3747, 0.7500), Te at (0.2374, 0.0971, 0.6010), O at (0.0882, 0.2154, 0.5617), O at (0.1310, 0.4755, 0.0322) and O at (0.1566, 0.0477, 0.2556).

The value obtained for the uncorrected formation energy is -1.77 eV/atom. The calculated total energy comes out at -6.0228 eV per atom. The density of states at the Fermi level is 0.0 states/eV/cell. For the volume, the calculation gives 15.63 A^3/atom.


Q: uncorrected formation energy of number 4 (LiTbTe2O6)?
A: -1.77 eV/atom